DFT (PBE) results for a relaxed AcSmEuGa crystal.

abc: 5.6368 5.6368 5.6368
angles: 60.00 60.00 60.00
Each line ends with the local moment (μB).
Fractional coordinates of all 4 atoms:
1 Sm 0.5000 0.5000 0.5000  0.18
2 Ac 0.7500 0.7500 0.7500  0.18
3 Ga 0.2500 0.2500 0.2500  -0.01
4 Eu 0.0000 0.0000 0.0000  6.91

Properties
M_tot   7.97 Bohr magnetons per cell
DFT total energy   -5.490 eV per atom
Space-group type   No. 216